# RbNa3Mo2H18O17 | the Alexandria database | GGA+U | optimized geometry
# Space group ... P6_3/m
# DOS(E_F) ... 0.000 states/eV per cell
# Uncorrected energy ... -5.327 eV per atom
data_RbNa3Mo2H18O17
_symmetry_space_group_name_H-M 'P 1'
_symmetry_Int_Tables_number 1
_cell_length_a 9.731
_cell_length_b 9.731
_cell_length_c 12.243
_cell_angle_alpha 90.00
_cell_angle_beta 90.00
_cell_angle_gamma 120.00
loop_
_symmetry_equiv_pos_as_xyz
'x,y,z'
loop_
_atom_site_label
_atom_site_type_symbol
_atom_site_fract_x
_atom_site_fract_y
_atom_site_fract_z
Rb1 Rb 0.000 0.000 0.250
Rb2 Rb 0.000 0.000 0.750
Na1 Na 0.164 0.456 0.250
Na2 Na 0.292 0.836 0.250
Na3 Na 0.456 0.292 0.750
Na4 Na 0.544 0.708 0.250
Na5 Na 0.708 0.164 0.750
Na6 Na 0.836 0.544 0.750
Mo1 Mo 0.333 0.667 0.524
Mo2 Mo 0.333 0.667 0.976
Mo3 Mo 0.667 0.333 0.024
Mo4 Mo 0.667 0.333 0.476
H1 H 0.052 0.422 0.686
H2 H 0.052 0.422 0.814
H3 H 0.079 0.325 0.043
H4 H 0.079 0.325 0.457
H5 H 0.087 0.760 0.599
H6 H 0.087 0.760 0.901
H7 H 0.240 0.327 0.599
H8 H 0.240 0.327 0.901
H9 H 0.246 0.921 0.043
H10 H 0.246 0.921 0.457
H11 H 0.325 0.246 0.543
H12 H 0.325 0.246 0.957
H13 H 0.327 0.087 0.099
H14 H 0.327 0.087 0.401
H15 H 0.370 0.948 0.686
H16 H 0.370 0.948 0.814
H17 H 0.422 0.370 0.186
H18 H 0.422 0.370 0.314
H19 H 0.578 0.630 0.686
H20 H 0.578 0.630 0.814
H21 H 0.630 0.052 0.186
H22 H 0.630 0.052 0.314
H23 H 0.673 0.913 0.599
H24 H 0.673 0.913 0.901
H25 H 0.675 0.754 0.043
H26 H 0.675 0.754 0.457
H27 H 0.754 0.079 0.543
H28 H 0.754 0.079 0.957
H29 H 0.760 0.673 0.099
H30 H 0.760 0.673 0.401
H31 H 0.913 0.240 0.099
H32 H 0.913 0.240 0.401
H33 H 0.921 0.675 0.543
H34 H 0.921 0.675 0.957
H35 H 0.948 0.578 0.186
H36 H 0.948 0.578 0.314
O1 O 0.019 0.606 0.250
O2 O 0.026 0.270 0.111
O3 O 0.026 0.270 0.389
O4 O 0.188 0.471 0.572
O5 O 0.188 0.471 0.928
O6 O 0.244 0.974 0.111
O7 O 0.244 0.974 0.389
O8 O 0.270 0.244 0.611
O9 O 0.270 0.244 0.889
O10 O 0.283 0.812 0.572
O11 O 0.283 0.812 0.928
O12 O 0.333 0.667 0.121
O13 O 0.333 0.667 0.379
O14 O 0.394 0.413 0.250
O15 O 0.413 0.019 0.750
O16 O 0.471 0.283 0.072
O17 O 0.471 0.283 0.428
O18 O 0.529 0.717 0.572
O19 O 0.529 0.717 0.928
O20 O 0.587 0.981 0.250
O21 O 0.606 0.587 0.750
O22 O 0.667 0.333 0.621
O23 O 0.667 0.333 0.879
O24 O 0.717 0.188 0.072
O25 O 0.717 0.188 0.428
O26 O 0.730 0.756 0.111
O27 O 0.730 0.756 0.389
O28 O 0.756 0.026 0.611
O29 O 0.756 0.026 0.889
O30 O 0.812 0.529 0.072
O31 O 0.812 0.529 0.428
O32 O 0.974 0.730 0.611
O33 O 0.974 0.730 0.889
O34 O 0.981 0.394 0.750